! Tb2PrSmSb4 (PBE-GGA, relaxed); values from VASP
&SYSTEM
  ibrav = 0, nat = 8, ntyp = 4
/
ATOMIC_SPECIES
Tb 158.93 Tb.upf
Sb 121.76 Sb.upf
Sm 150.36 Sm.upf
Pr 140.91 Pr.upf
CELL_PARAMETERS angstrom
4.462 0.000 0.000
0.000 7.719 -0.151
0.000 2.718 7.230
ATOMIC_POSITIONS crystal
Tb 0.500 0.000 0.500
Tb 0.000 0.000 0.000
Sb 0.000 0.242 0.255
Sb 0.500 0.756 0.250
Sb 0.500 0.244 0.750
Sb 0.000 0.758 0.745
Sm 0.000 0.500 0.500
Pr 0.500 0.500 0.000
! Magnetization   0.00 μB/cell
! Space group   P2/m, No. 10
! E_form (uncorrected)   -1.163 eV per atom